Record 1
# PBE ZrPaCoRh, relaxed
# crystal system = cubic
# D(E_F) = 1.847 states/eV per atom
# raw total energy = -8.476 eV/atom
# volume = 18.365 Å³ per atom
# ΔH_f (0 K) = -0.351 eV per atom
# calculated density = 10.9 g/cm³
data_ZrPaCoRh
_symmetry_space_group_name_H-M 'F -4 3 m'
_symmetry_Int_Tables_number 216
_symmetry_space_group_name_Hall 'F -4 2 3'
_cell_length_a 6.6481
_cell_length_b 6.6481
_cell_length_c 6.6481
_cell_angle_alpha 90.00
_cell_angle_beta 90.00
_cell_angle_gamma 90.00
loop_
_atom_site_label
_atom_site_type_symbol
_atom_site_fract_x
_atom_site_fract_y
_atom_site_fract_z
_atom_site_occupancy
Zr1 Zr 0.0000 0.0000 0.0000 1
Pa1 Pa 0.0000 0.0000 0.5000 1
Co1 Co 0.2500 0.2500 0.7500 1
Rh1 Rh 0.2500 0.2500 0.2500 1

Record 2
# PBE TiHg3Cl, relaxed
# crystal system = cubic
# D(E_F) = 4.035 states/eV per atom
# raw total energy = -1.143 eV/atom
# volume = 31.329 Å³ per atom
# calculated density = 7.3 g/cm³
data_TiHg3Cl
_symmetry_space_group_name_H-M 'P m -3 m'
_symmetry_Int_Tables_number 221
_symmetry_space_group_name_Hall '-P 4 2 3'
_cell_length_a 5.3906
_cell_length_b 5.3906
_cell_length_c 5.3906
_cell_angle_alpha 90.00
_cell_angle_beta 90.00
_cell_angle_gamma 90.00
loop_
_atom_site_label
_atom_site_type_symbol
_atom_site_fract_x
_atom_site_fract_y
_atom_site_fract_z
_atom_site_occupancy
Ti1 Ti 0.0000 0.0000 0.0000 1
Hg1 Hg 0.0000 0.5000 0.5000 1
Cl1 Cl 0.5000 0.5000 0.5000 1

Record 3
# PBE Co2PbAu, relaxed
# crystal system = orthorhombic
# D(E_F) = 1.377 states/eV per atom
# raw total energy = -4.842 eV/atom
# volume = 16.345 Å³ per atom
# ΔH_f (0 K) = 0.458 eV per atom
# calculated density = 13.3 g/cm³
data_Co2PbAu
_symmetry_space_group_name_H-M 'P m m m'
_symmetry_Int_Tables_number 47
_cell_length_a 3.2551
_cell_length_b 3.2686
_cell_length_c 6.1451
_cell_angle_alpha 90.00
_cell_angle_beta 90.00
_cell_angle_gamma 90.00
loop_
_symmetry_equiv_pos_as_xyz
'x,y,z'
'-x,-y,-z'
'-x,-y,z'
'x,y,-z'
'x,-y,-z'
'-x,y,z'
'-x,y,-z'
'x,-y,z'
loop_
_atom_site_label
_atom_site_type_symbol
_atom_site_fract_x
_atom_site_fract_y
_atom_site_fract_z
_atom_site_occupancy
Co1 Co 0.0000 0.0000 0.2225 1
Pb1 Pb 0.5000 0.5000 0.5000 1
Au1 Au 0.5000 0.5000 0.0000 1

Record 4
# PBE La2IrCl, relaxed
# crystal system = orthorhombic
# D(E_F) = 1.020 states/eV per atom
# raw total energy = -6.222 eV/atom
# volume = 28.061 Å³ per atom
# calculated density = 7.5 g/cm³
data_La2IrCl
_symmetry_space_group_name_H-M 'I m m 2'
_symmetry_Int_Tables_number 44
_cell_length_a 3.7889
_cell_length_b 3.8392
_cell_length_c 15.4326
_cell_angle_alpha 90.00
_cell_angle_beta 90.00
_cell_angle_gamma 90.00
loop_
_symmetry_equiv_pos_as_xyz
'x,y,z'
'-x,-y,z'
'-x,y,z'
'x,-y,z'
'x+1/2,y+1/2,z+1/2'
'-x+1/2,-y+1/2,z+1/2'
'-x+1/2,y+1/2,z+1/2'
'x+1/2,-y+1/2,z+1/2'
loop_
_atom_site_label
_atom_site_type_symbol
_atom_site_fract_x
_atom_site_fract_y
_atom_site_fract_z
_atom_site_occupancy
La1 La 0.0000 0.0000 0.0000 1
La2 La 0.0000 0.5000 0.2177 1
Ir1 Ir 0.0000 0.0000 0.5819 1
Cl1 Cl 0.0000 0.5000 0.8295 1